# 1
Below is LaPmAs after structural relaxation, with properties calculated at the PBE-GGA level.

Values from the calculation:
Energy relative to the elements   -0.75 eV per atom

abc: 6.160 6.160 6.160
angles: 142.83 142.83 53.58
Atoms (fractional coordinates):
La: 0.000 0.000 0.000
Pm: 0.720 0.720 0.000
As: 0.343 0.343 0.000

---

# 2
Below is La5Pm3As8 after structural relaxation, with properties calculated at the PBE-GGA level.

Values from the calculation:
Energy relative to the elements   -1.55 eV per atom

abc: 8.650 8.650 8.650
angles: 60.00 60.00 60.00
Atoms (fractional coordinates):
La: 0.000 0.000 0.000
La: 0.000 0.500 0.500
La: 0.500 0.000 0.500
La: 0.500 0.500 0.000
La: 0.500 0.500 0.500
Pm: 0.000 0.000 0.500
Pm: 0.000 0.500 0.000
Pm: 0.500 0.000 0.000
As: 0.246 0.750 0.750
As: 0.248 0.248 0.248
As: 0.250 0.250 0.754
As: 0.250 0.754 0.250
As: 0.750 0.246 0.750
As: 0.750 0.750 0.246
As: 0.752 0.752 0.752
As: 0.754 0.250 0.250